No. 1
Compound: Ba2TaGa
Source: the Alexandria database
Functional: PBE-GGA
Structure: relaxed

Output
**Formation enthalpy at 0 K**: 1081 meV per atom

The structure in CIF format:
```
data_Ba2TaGa
_cell_length_a 4.482
_cell_length_b 4.482
_cell_length_c 12.264
_cell_angle_alpha 79.47
_cell_angle_beta 79.47
_cell_angle_gamma 90.00
_space_group_name_H-M_alt 'P 1'
_space_group_IT_number 1
loop_
_space_group_symop_operation_xyz
'x,y,z'
loop_
_atom_site_label
_atom_site_type_symbol
_atom_site_fract_x
_atom_site_fract_y
_atom_site_fract_z
Ba1 Ba 0.626 0.125 0.250
Ba2 Ba 0.124 0.625 0.250
Ba3 Ba 0.375 0.374 0.750
Ba4 Ba 0.875 0.876 0.750
Ga1 Ga 0.500 0.500 0.000
Ga2 Ga 0.250 0.750 0.500
Ta1 Ta 0.000 0.000 0.000
Ta2 Ta 0.750 0.250 0.500
```

No. 2
Compound: BaTa2Ga
Source: the Alexandria database
Functional: PBE-GGA
Structure: relaxed

Output
**Formation enthalpy at 0 K**: 884 meV per atom

The structure in CIF format:
```
data_BaTa2Ga
_cell_length_a 5.001
_cell_length_b 5.001
_cell_length_c 10.418
_cell_angle_alpha 76.11
_cell_angle_beta 76.11
_cell_angle_gamma 90.00
_space_group_name_H-M_alt 'P 1'
_space_group_IT_number 1
loop_
_space_group_symop_operation_xyz
'x,y,z'
loop_
_atom_site_label
_atom_site_type_symbol
_atom_site_fract_x
_atom_site_fract_y
_atom_site_fract_z
Ba1 Ba 0.000 0.000 0.000
Ba2 Ba 0.750 0.250 0.500
Ga1 Ga 0.500 0.500 0.000
Ga2 Ga 0.250 0.750 0.500
Ta1 Ta 0.375 0.125 0.250
Ta2 Ta 0.375 0.625 0.250
Ta3 Ta 0.375 0.625 0.750
Ta4 Ta 0.875 0.625 0.750
```

No. 3
Compound: BaZrTa2Ga
Source: the Alexandria database
Functional: PBE-GGA
Structure: relaxed

Output
**Formation enthalpy at 0 K**: 2522 meV per atom

The structure in CIF format:
```
data_BaZrTa2Ga
_cell_length_a 5.105
_cell_length_b 5.242
_cell_length_c 5.105
_cell_angle_alpha 90.00
_cell_angle_beta 90.00
_cell_angle_gamma 90.00
_space_group_name_H-M_alt 'P 1'
_space_group_IT_number 1
loop_
_space_group_symop_operation_xyz
'x,y,z'
loop_
_atom_site_label
_atom_site_type_symbol
_atom_site_fract_x
_atom_site_fract_y
_atom_site_fract_z
Ga1 Ga 0.500 0.500 0.500
Ba1 Ba 0.000 0.000 0.000
Zr1 Zr 0.000 0.500 0.000
Ta1 Ta 0.000 0.000 0.500
Ta2 Ta 0.500 0.000 0.000
```

No. 4
Compound: BaTbGa4
Source: the Alexandria database
Functional: PBE-GGA
Structure: relaxed

Output
**Formation enthalpy at 0 K**: -380 meV per atom

The structure in CIF format:
```
data_BaTbGa4
_cell_length_a 5.762
_cell_length_b 5.762
_cell_length_c 5.762
_cell_angle_alpha 60.00
_cell_angle_beta 60.00
_cell_angle_gamma 60.00
_space_group_name_H-M_alt 'P 1'
_space_group_IT_number 1
loop_
_space_group_symop_operation_xyz
'x,y,z'
loop_
_atom_site_label
_atom_site_type_symbol
_atom_site_fract_x
_atom_site_fract_y
_atom_site_fract_z
Tb1 Tb 0.000 0.000 0.000
Ba1 Ba 0.250 0.250 0.250
Ga1 Ga 0.626 0.626 0.123
Ga2 Ga 0.626 0.123 0.626
Ga3 Ga 0.626 0.626 0.626
Ga4 Ga 0.123 0.626 0.626
```

Per-record Fermi-level density of states, states/eV/cell: 7.97 6.88 5.52 1.81
Per-record magnetization, μB per formula unit: 0.37 0.00 0.00 0.00
Per-record theoretical density, g/cm3: 7.3 7.7 8.0 7.1